Arrangement i

Here is a relaxed Mg2VSbO6 crystal from Alexandria via LeMat-Bulk. Energies are from PBE+U.

Cell lengths 5.5514, 5.5514, 5.5514 Å; angles 56.04, 56.04, 56.04 degrees
Closest atoms and distances in Å follow each position.
Atoms (fractional coordinates):
Mg: 0.0000 0.0000 0.0000  6 O 2.06-2.21
Mg: 0.4996 0.4996 0.4996  6 O 2.04-2.21
V: 0.2903 0.2903 0.2903  6 O 2.03-2.11
Sb: 0.7928 0.7928 0.7928  6 O 2.00-2.05
O: 0.0759 0.4104 0.6841  1 Sb 2.00, 2 Mg 2.06-2.21, 1 V 2.11
O: 0.1795 0.9025 0.5815  1 V 2.03, 2 Mg 2.04-2.21, 1 Sb 2.05
O: 0.4104 0.6841 0.0759  1 Sb 2.00, 2 Mg 2.06-2.21, 1 V 2.11
O: 0.5815 0.1795 0.9025  1 V 2.03, 2 Mg 2.04-2.21, 1 Sb 2.05
O: 0.6841 0.0759 0.4104  1 Sb 2.00, 2 Mg 2.06-2.21, 1 V 2.11
O: 0.9025 0.5815 0.1795  1 V 2.03, 2 Mg 2.04-2.21, 1 Sb 2.05

Output
Space-group type: R3
DOS at the Fermi energy, states/eV/atom: 0.000

Arrangement ii

Here is a relaxed Mg2VSbO6 crystal from Alexandria via LeMat-Bulk. Energies are from PBE+U.

Cell lengths 5.2317, 7.6496, 5.3903 Å; angles 90.00, 91.34, 90.00 degrees
Closest atoms and distances in Å follow each position.
Atoms (fractional coordinates):
Mg: 0.0155 0.2500 0.0314  4 O 2.01-2.20
Mg: 0.4804 0.7500 0.4337  4 O 2.09-2.12
Mg: 0.5196 0.2500 0.5663  4 O 2.09-2.12
Mg: 0.9845 0.7500 0.9686  4 O 2.01-2.20
V: 0.5000 0.0000 0.0000  6 O 2.03-2.10
V: 0.5000 0.5000 0.0000  6 O 2.03-2.10
Sb: 0.0000 0.0000 0.5000  6 O 1.98-2.09
Sb: 0.0000 0.5000 0.5000  6 O 1.98-2.09
O: 0.1374 0.2500 0.4252  2 Sb 2.09, 2 Mg 2.12-2.20
O: 0.1685 0.5697 0.1901  1 Sb 1.98, 1 Mg 2.05, 1 V 2.10
O: 0.1685 0.9303 0.1901  1 Sb 1.98, 1 Mg 2.05, 1 V 2.10
O: 0.3217 0.5679 0.6760  1 Sb 1.98, 1 V 2.03, 1 Mg 2.09
O: 0.3217 0.9321 0.6760  1 Sb 1.98, 1 V 2.03, 1 Mg 2.09
O: 0.3815 0.2500 0.9276  2 Mg 2.01-2.09, 2 V 2.05
O: 0.6185 0.7500 0.0724  2 Mg 2.01-2.09, 2 V 2.05
O: 0.6783 0.0679 0.3240  1 Sb 1.98, 1 V 2.03, 1 Mg 2.09
O: 0.6783 0.4321 0.3240  1 Sb 1.98, 1 V 2.03, 1 Mg 2.09
O: 0.8315 0.0697 0.8099  1 Sb 1.98, 1 Mg 2.05, 1 V 2.10
O: 0.8315 0.4303 0.8099  1 Sb 1.98, 1 Mg 2.05, 1 V 2.10
O: 0.8626 0.7500 0.5748  2 Sb 2.09, 2 Mg 2.12-2.20

Output
Space-group type: P2_1/m

Result of the stability comparison: arrangement i is the most stable of them.